{"formula": "CrCuSe2", "functional": "PBE-GGA", "state": "optimized geometry", "lattice_angstrom": [[3.482, 0.000, 0.000], [0.000, 3.482, 0.000], [0.000, 0.000, 6.343]], "species": ["Cr", "Cu", "Se", "Se"], "frac_coords": [[0.000, 0.000, 0.000], [0.500, 0.500, 0.270], [0.000, 0.000, 0.386], [0.500, 0.500, 0.876]], "relative_energy_mev_per_atom": 157, "m_tot_mub_per_fu": 3.2, "formation_energy_uncorrected_kj_per_mol_atoms": -20.5}

---

{"formula": "BeVCr3", "functional": "PBE-GGA", "state": "optimized geometry", "lattice_angstrom": [[3.940, 0.000, 0.000], [0.000, 3.940, 0.000], [0.000, 0.000, 3.940]], "species": ["Be", "V", "Cr", "Cr", "Cr"], "frac_coords": [[0.000, 0.000, 0.000], [0.500, 0.500, 0.500], [0.000, 0.000, 0.500], [0.000, 0.500, 0.000], [0.500, 0.000, 0.000]], "relative_energy_mev_per_atom": 0, "m_tot_mub_per_fu": 0.0, "formation_enthalpy_0k_ev_per_fu": 4.155}

---

{"formula": "Li3ZnP", "functional": "PBE-GGA", "state": "optimized geometry", "lattice_angstrom": [[4.542, 0.000, 0.000], [0.000, 4.542, 0.000], [0.000, 0.000, 4.542]], "species": ["Li", "Li", "Li", "Zn", "P"], "frac_coords": [[0.000, 0.000, 0.500], [0.000, 0.500, 0.000], [0.500, 0.000, 0.000], [0.000, 0.000, 0.000], [0.500, 0.500, 0.500]], "relative_energy_mev_per_atom": 525, "m_tot_mub_per_fu": 0.0, "formation_enthalpy_0k_ev_per_fu": 1.235}

---

{"formula": "CaIrRh2", "functional": "PBE-GGA", "state": "optimized geometry", "lattice_angstrom": [[0.000, 3.230, 3.230], [3.230, 0.000, 3.230], [3.230, 3.230, 0.000]], "species": ["Ca", "Ir", "Rh", "Rh"], "frac_coords": [[0.000, 0.000, 0.000], [0.750, 0.750, 0.750], [0.250, 0.250, 0.250], [0.500, 0.500, 0.500]], "relative_energy_mev_per_atom": 312, "m_tot_mub_per_fu": 2.7, "formation_enthalpy_0k_ev_per_fu": 0.858}